*1*
# Zn2SbAs | Alexandria | PBE | relaxed
data_Zn2SbAs
_chemical_formula_sum 'Zn8 Sb4 As4'
_space_group_name_H-M_alt 'F m -3 m'
_space_group_IT_number 225
_space_group_name_Hall '-F 4 2 3'
_cell_length_a 6.836
_cell_length_b 6.836
_cell_length_c 6.836
_cell_angle_alpha 90.00
_cell_angle_beta 90.00
_cell_angle_gamma 90.00
loop_
_atom_site_label
_atom_site_type_symbol
_atom_site_fract_x
_atom_site_fract_y
_atom_site_fract_z
_atom_site_occupancy
Zn1 Zn 0.250 0.250 0.250 1
Sb1 Sb 0.000 0.000 0.000 1
As1 As 0.000 0.000 0.500 1
# Total magnetic moment = 0.00 μB per formula unit

***

*2*
# Zn2SbAs | Alexandria | PBE | relaxed
data_Zn2SbAs
_chemical_formula_sum 'Zn4 Sb2 As2'
_space_group_name_H-M_alt 'C 1 2/m 1'
_space_group_IT_number 12
_space_group_name_Hall '-C 2y'
_cell_length_a 5.720
_cell_length_b 7.670
_cell_length_c 4.319
_cell_angle_alpha 90.00
_cell_angle_beta 116.40
_cell_angle_gamma 90.00
loop_
_atom_site_label
_atom_site_type_symbol
_atom_site_fract_x
_atom_site_fract_y
_atom_site_fract_z
_atom_site_occupancy
Zn1 Zn 0.250 0.250 0.000 1
Sb1 Sb 0.000 0.000 0.500 1
As1 As 0.000 0.500 0.500 1
# Total magnetic moment = 0.00 μB per formula unit

***

*3*
# Zn2SbAs | Alexandria | PBE | relaxed
data_Zn2SbAs
_chemical_formula_sum 'Zn4 Sb2 As2'
_space_group_name_H-M_alt 'I m m m'
_space_group_IT_number 71
_space_group_name_Hall '-I 2 2'
_cell_length_a 3.812
_cell_length_b 5.298
_cell_length_c 8.125
_cell_angle_alpha 90.00
_cell_angle_beta 90.00
_cell_angle_gamma 90.00
loop_
_atom_site_label
_atom_site_type_symbol
_atom_site_fract_x
_atom_site_fract_y
_atom_site_fract_z
_atom_site_occupancy
Zn1 Zn 0.000 0.000 0.230 1
Sb1 Sb 0.000 0.500 0.000 1
As1 As 0.000 0.500 0.500 1
# Total magnetic moment = 0.00 μB per formula unit

***

Most stable pick: *2*. Distance to second place: 49 meV per atom.